Entry 1:
! ZnTeMo2 (PBE, relaxed); values from VASP
&SYSTEM
  ibrav = 0, nat = 4, ntyp = 3
/
ATOMIC_SPECIES
Mo 95.94 Mo.upf
Zn 65.41 Zn.upf
Te 127.60 Te.upf
CELL_PARAMETERS angstrom
4.4940 0.0106 0.0000
-0.0118 4.4940 0.0000
0.0000 0.0000 3.3197
ATOMIC_POSITIONS angstrom
Mo 2.2411 2.2523 0.0000
Mo 0.0000 0.0000 0.0000
Zn -0.0059 2.2470 1.6598
Te 2.2470 0.0053 1.6598
! distance to the lowest polymorph of the same formula: 248 meV per atom
! E_form (uncorrected): 0.452 eV/atom
! SG: P4/mmm (123)
! crystal system: tetragonal

Entry 2:
! NdCd3C4O12 (PBE, relaxed); values from VASP
&SYSTEM
  ibrav = 0, nat = 20, ntyp = 4
/
ATOMIC_SPECIES
C 12.01 C.upf
O 16.00 O.upf
Cd 112.41 Cd.upf
Nd 144.24 Nd.upf
CELL_PARAMETERS angstrom
-0.3103 5.1913 4.0046
-5.4366 0.8326 -3.5822
-1.8648 -4.8297 4.0347
ATOMIC_POSITIONS angstrom
C -1.3668 2.6709 5.8383
C -4.5455 -4.1709 2.2429
C -5.5053 3.2912 -1.3956
C -3.8059 0.5971 2.2286
O -4.9093 3.8691 -0.3846
O -1.7607 3.3963 4.8234
O -1.6266 1.3897 5.8857
O -3.3470 -0.1303 3.2070
O -5.8421 -1.1342 -0.7850
O -3.8211 -3.6260 3.1862
O -3.1884 4.5775 2.2166
O -5.0717 -3.4377 1.2958
O -5.6459 1.9912 -1.4352
O -2.3871 -1.6520 5.2541
O -4.4644 0.0372 1.2540
O -3.6062 1.8844 2.2247
Cd -3.7217 -1.8861 0.0749
Cd -1.1184 -0.0183 4.0203
Cd -2.7716 3.0985 0.3619
Nd 0.0000 0.0000 0.0000
! E_form (uncorrected): -1.507 eV/atom
! SG: R32 (155)
! crystal system: trigonal

Number 1: density 9.53 g cm⁻³. Number 2: density 4.53 g cm⁻³.